1.
Here is crystalline ZrAgAu at its relaxed geometry from Alexandria. Energies are from GGA-PBE.

Summary:
Energy above the most stable polymorph in this dataset, eV per atom: 0.0231
Total magnetic moment, μB per atom: 0.000
Formation energy from the elements, meV/atom: -304
Calculated density, g/cm³: 11.56

Lattice parameters (Å, degrees): 4.7653 4.7653 2.8934 90.00 90.00 120.00
Space group P-6m2 (No. 187)
Inequivalent atoms, fractional coordinates:
Zr 0.0000 0.0000 0.0000 [1 per cell]
Ag 0.6667 0.3333 0.5000 [1 per cell]
Au 0.3333 0.6667 0.5000 [1 per cell]

=====

2.
Here is crystalline DyYMg2 at its relaxed geometry from Alexandria. Energies are from GGA-PBE.

Summary:
Total magnetic moment, μB per atom: 0.000
Formation energy from the elements, meV/atom: -98
Calculated density, g/cm³: 4.56

Lattice parameters (Å, degrees): 7.589 7.589 7.589 90.00 90.00 90.00
Space group Fm-3m (No. 225)
Inequivalent atoms, fractional coordinates:
Dy 0.000 0.000 0.000 [4 per cell]
Y 0.000 0.000 0.500 [4 per cell]
Mg 0.250 0.250 0.250 [8 per cell]

=====

3.
Here is crystalline NaGaPd2 at its relaxed geometry from Alexandria. Energies are from GGA-PBE.

Summary:
Total magnetic moment, μB per atom: 0.000
Formation energy from the elements, meV/atom: -439
Calculated density, g/cm³: 7.44

Lattice parameters (Å, degrees): 2.994 2.994 7.607 90.00 90.00 90.00
Space group P4/mmm (No. 123)
Inequivalent atoms, fractional coordinates:
Na 0.000 0.000 0.000 [1 per cell]
Ga 0.000 0.000 0.500 [1 per cell]
Pd 0.500 0.500 0.299 [2 per cell]

=====

4.
Here is crystalline Mg2BN2Cl at its relaxed geometry from Alexandria. Energies are from GGA-PBE.

Summary:
E_form (uncorrected), eV/f.u.: -7.11
Total magnetic moment, μB per atom: 0.000
Calculated density, g/cm³: 2.33

Lattice parameters (Å, degrees): 6.691 9.834 10.659 90.00 90.00 90.00
Space group Pbca (No. 61)
Inequivalent atoms, fractional coordinates:
Mg 0.059 0.248 0.191 [8 per cell]
Mg 0.197 0.047 0.442 [8 per cell]
B 0.143 0.539 0.198 [8 per cell]
N 0.071 0.057 0.622 [8 per cell]
N 0.205 0.640 0.274 [8 per cell]
Cl 0.065 0.158 0.959 [8 per cell]

=====

| no. | total DFT energy (no corrections) (eV for the cell shown) |
| --- | --- |
| 1 | -15.589 |
| 2 | -58.585 |
| 3 | -16.486 |
| 4 | -283.802 |